A) DFT (PBE-GGA) results for an optimized crystal structure of ZrHgPb.

Computed properties:
DOS at the Fermi energy ... 2.177 states/eV/f.u.
SG ... Imm2

Unit cell a=5.946 b=5.946 c=5.946 alpha=148.25 beta=138.47 gamma=53.20
Positions (direct):
Hg 0.010 0.010 0.000
Pb 0.334 0.334 0.000
Zr 0.657 0.657 0.000

***

B) DFT (PBE-GGA) results for an optimized crystal structure of ZrHgPb.

Computed properties:
DOS at the Fermi energy ... 1.402 states/eV/f.u.
SG ... P2/m

Unit cell a=5.382 b=3.273 c=8.431 alpha=90.00 beta=102.26 gamma=90.00
Positions (direct):
Pb 0.729 0.000 0.657
Pb 0.271 0.000 0.343
Hg 0.500 0.000 0.000
Hg 0.000 0.500 0.000
Zr 0.773 0.500 0.315
Zr 0.227 0.500 0.685

***

Stability ranking, top and bottom: B) is the most stable and A) is the least stable.

***

A) DFT (PBE-GGA) results for an optimized crystal structure of ZrHg2Pb2.

Computed properties:
DOS at the Fermi energy ... 3.262 states/eV/f.u.
SG ... P4/mbm

Unit cell a=8.191 b=8.191 c=3.946 alpha=90.00 beta=90.00 gamma=90.00
Positions (direct):
Pb 0.350 0.850 0.000
Pb 0.850 0.650 0.000
Pb 0.650 0.150 0.000
Pb 0.150 0.350 0.000
Hg 0.154 0.654 0.500
Hg 0.654 0.846 0.500
Hg 0.846 0.346 0.500
Hg 0.346 0.154 0.500
Zr 0.000 0.000 0.000
Zr 0.500 0.500 0.000

***

B) DFT (PBE-GGA) results for an optimized crystal structure of ZrHg2Pb2.

Computed properties:
DOS at the Fermi energy ... 3.496 states/eV/f.u.
SG ... P4/mbm

Unit cell a=8.144 b=8.144 c=3.946 alpha=90.00 beta=90.00 gamma=90.00
Positions (direct):
Pb 0.175 0.675 0.500
Pb 0.675 0.825 0.500
Pb 0.825 0.325 0.500
Pb 0.325 0.175 0.500
Hg 0.371 0.871 0.000
Hg 0.871 0.629 0.000
Hg 0.629 0.129 0.000
Hg 0.129 0.371 0.000
Zr 0.000 0.000 0.000
Zr 0.500 0.500 0.000

***

Stability ranking, top and bottom: B) is the most stable and A) is the least stable.

***

A) DFT (PBE-GGA) results for an optimized crystal structure of Zr2Hg2Pb.

Computed properties:
DOS at the Fermi energy ... 3.981 states/eV/f.u.
SG ... I4/mmm

Unit cell a=4.260 b=4.260 c=7.759 alpha=74.07 beta=74.07 gamma=90.00
Positions (direct):
Pb 0.000 0.000 0.000
Hg 0.400 0.400 0.200
Hg 0.600 0.600 0.800
Zr 0.750 0.250 0.500
Zr 0.250 0.750 0.500

***

B) DFT (PBE-GGA) results for an optimized crystal structure of Zr2Hg2Pb.

Computed properties:
DOS at the Fermi energy ... 3.457 states/eV/f.u.
SG ... P4/mbm

Unit cell a=7.727 b=7.727 c=4.112 alpha=90.00 beta=90.00 gamma=90.00
Positions (direct):
Pb 0.000 0.000 0.000
Pb 0.500 0.500 0.000
Hg 0.154 0.654 0.500
Hg 0.654 0.846 0.500
Hg 0.846 0.346 0.500
Hg 0.346 0.154 0.500
Zr 0.357 0.857 0.000
Zr 0.857 0.643 0.000
Zr 0.643 0.143 0.000
Zr 0.143 0.357 0.000

***

C) DFT (PBE-GGA) results for an optimized crystal structure of Zr2Hg2Pb.

Computed properties:
DOS at the Fermi energy ... 4.396 states/eV/f.u.
SG ... P4/mbm

Unit cell a=8.421 b=8.421 c=3.376 alpha=90.00 beta=90.00 gamma=90.00
Positions (direct):
Pb 0.000 0.000 0.000
Pb 0.500 0.500 0.000
Hg 0.373 0.873 0.000
Hg 0.873 0.627 0.000
Hg 0.627 0.127 0.000
Hg 0.127 0.373 0.000
Zr 0.170 0.670 0.500
Zr 0.670 0.830 0.500
Zr 0.830 0.330 0.500
Zr 0.330 0.170 0.500

***

Stability ranking, top and bottom: B) is the most stable and A) is the least stable.

***

A) DFT (PBE-GGA) results for an optimized crystal structure of Zr2HgPb2.

Computed properties:
DOS at the Fermi energy ... 4.224 states/eV/f.u.
SG ... P4/mbm

Unit cell a=7.783 b=7.783 c=4.170 alpha=90.00 beta=90.00 gamma=90.00
Positions (direct):
Pb 0.165 0.665 0.500
Pb 0.665 0.835 0.500
Pb 0.835 0.335 0.500
Pb 0.335 0.165 0.500
Hg 0.000 0.000 0.000
Hg 0.500 0.500 0.000
Zr 0.361 0.861 0.000
Zr 0.861 0.639 0.000
Zr 0.639 0.139 0.000
Zr 0.139 0.361 0.000

***

B) DFT (PBE-GGA) results for an optimized crystal structure of Zr2HgPb2.

Computed properties:
DOS at the Fermi energy ... 1.715 states/eV/f.u.
SG ... P4/mbm

Unit cell a=8.041 b=8.041 c=3.888 alpha=90.00 beta=90.00 gamma=90.00
Positions (direct):
Pb 0.349 0.849 0.000
Pb 0.849 0.651 0.000
Pb 0.651 0.151 0.000
Pb 0.151 0.349 0.000
Hg 0.000 0.000 0.000
Hg 0.500 0.500 0.000
Zr 0.148 0.648 0.500
Zr 0.648 0.852 0.500
Zr 0.852 0.352 0.500
Zr 0.352 0.148 0.500

***

Stability ranking, top and bottom: A) is the most stable and B) is the least stable.

***

A) DFT (PBE-GGA) results for an optimized crystal structure of HgPd4.

Computed properties:
DOS at the Fermi energy ... 7.608 states/eV/f.u.
SG ... Pm-3m

Unit cell a=4.998 b=4.998 c=4.998 alpha=90.00 beta=90.00 gamma=90.00
Positions (direct):
Hg 0.500 0.500 0.500
Pd 0.000 0.000 0.000
Pd 0.500 0.000 0.500
Pd 0.000 0.500 0.500
Pd 0.500 0.500 0.000

***

B) DFT (PBE-GGA) results for an optimized crystal structure of HgPd4.

Computed properties:
DOS at the Fermi energy ... 6.013 states/eV/f.u.
SG ... C2/m

Unit cell a=5.352 b=4.608 c=9.291 alpha=128.35 beta=90.00 gamma=90.00
Positions (direct):
Hg 0.000 0.000 0.000
Hg 0.500 0.000 0.500
Pd 0.250 0.000 0.250
Pd 0.750 0.000 0.250
Pd 0.750 0.000 0.750
Pd 0.250 0.000 0.750
Pd 0.000 0.366 0.611
Pd 0.500 0.634 0.889
Pd 0.000 0.634 0.389
Pd 0.500 0.366 0.111

***

Stability ranking, top and bottom: B) is the most stable and A) is the least stable.

***

A) DFT (PBE-GGA) results for an optimized crystal structure of Hg2Pd5.

Computed properties:
DOS at the Fermi energy ... 6.730 states/eV/f.u.
SG ... C2/m

Unit cell a=8.907 b=5.701 c=5.701 alpha=56.15 beta=41.85 gamma=41.85
Positions (direct):
Hg 0.718 0.647 0.647
Hg 0.282 0.353 0.353
Pd 0.000 0.000 0.000
Pd 0.742 0.136 0.641
Pd 0.258 0.359 0.864
Pd 0.258 0.864 0.359
Pd 0.742 0.641 0.136

***

B) DFT (PBE-GGA) results for an optimized crystal structure of Hg2Pd5.

Computed properties:
DOS at the Fermi energy ... 5.617 states/eV/f.u.
SG ... C2/c

Unit cell a=4.891 b=7.494 c=6.921 alpha=93.21 beta=110.69 gamma=90.00
Positions (direct):
Hg 0.239 0.395 0.845
Hg 0.394 0.105 0.155
Hg 0.761 0.605 0.155
Hg 0.606 0.895 0.845
Pd 0.323 0.462 0.292
Pd 0.031 0.038 0.708
Pd 0.109 0.682 0.572
Pd 0.537 0.818 0.428
Pd 0.891 0.318 0.428
Pd 0.463 0.182 0.572
Pd 0.969 0.962 0.292
Pd 0.677 0.538 0.708
Pd 0.821 0.250 0.000
Pd 0.179 0.750 0.000

***

Stability ranking, top and bottom: B) is the most stable and A) is the least stable.

***

A) DFT (PBE-GGA) results for an optimized crystal structure of Hg2Pd3.

Computed properties:
DOS at the Fermi energy ... 2.753 states/eV/f.u.
SG ... Ibam

Unit cell a=5.206 b=6.577 c=6.981 alpha=118.10 beta=111.89 gamma=90.00
Positions (direct):
Hg 0.174 0.427 0.348
Hg 0.826 0.573 0.652
Hg 0.326 0.079 0.652
Hg 0.674 0.921 0.348
Pd 0.750 0.000 0.000
Pd 0.250 0.000 0.000
Pd 0.917 0.265 0.833
Pd 0.583 0.432 0.167
Pd 0.417 0.568 0.833
Pd 0.083 0.735 0.167

***

B) DFT (PBE-GGA) results for an optimized crystal structure of Hg2Pd3.

Computed properties:
DOS at the Fermi energy ... 3.628 states/eV/f.u.
SG ... P4/mmm

Unit cell a=3.373 b=3.373 c=15.450 alpha=90.00 beta=90.00 gamma=90.00
Positions (direct):
Hg 0.500 0.500 0.190
Hg 0.500 0.500 0.397
Hg 0.500 0.500 0.603
Hg 0.500 0.500 0.810
Pd 0.000 0.000 0.907
Pd 0.000 0.000 0.093
Pd 0.000 0.000 0.296
Pd 0.000 0.000 0.500
Pd 0.000 0.000 0.704
Pd 0.500 0.500 0.000

***

Stability ranking, top and bottom: B) is the most stable and A) is the least stable.

***

A) DFT (PBE-GGA) results for an optimized crystal structure of Hg3Pd2.

Computed properties:
DOS at the Fermi energy ... 1.172 states/eV/f.u.
SG ... R-3c

Unit cell a=5.956 b=5.956 c=7.827 alpha=67.64 beta=67.64 gamma=60.00
Positions (direct):
Hg 0.161 0.750 0.750
Hg 0.750 0.339 0.750
Hg 0.339 0.161 0.750
Hg 0.250 0.661 0.250
Hg 0.661 0.839 0.250
Hg 0.839 0.250 0.250
Pd 0.817 0.817 0.549
Pd 0.317 0.317 0.049
Pd 0.183 0.183 0.451
Pd 0.683 0.683 0.951

***

B) DFT (PBE-GGA) results for an optimized crystal structure of Hg3Pd2.

Computed properties:
DOS at the Fermi energy ... 1.827 states/eV/f.u.
SG ... Immm

Unit cell a=4.403 b=5.338 c=5.338 alpha=68.80 beta=65.65 gamma=65.65
Positions (direct):
Hg 0.000 0.000 0.000
Hg 0.806 0.694 0.694
Hg 0.194 0.306 0.306
Pd 0.500 0.273 0.727
Pd 0.500 0.727 0.273

***

Stability ranking, top and bottom: B) is the most stable and A) is the least stable.

***

A) DFT (PBE-GGA) results for an optimized crystal structure of PmHg4Pd.

Computed properties:
DOS at the Fermi energy ... 2.978 states/eV/f.u.
SG ... Cmc2_1

Unit cell a=5.023 b=6.956 c=8.626 alpha=90.00 beta=106.93 gamma=90.00
Positions (direct):
Pm 0.830 0.940 0.661
Pm 0.170 0.440 0.339
Hg 0.975 0.284 0.950
Hg 0.025 0.784 0.050
Hg 0.464 0.987 0.927
Hg 0.536 0.487 0.073
Hg 0.796 0.405 0.592
Hg 0.204 0.905 0.408
Hg 0.640 0.111 0.281
Hg 0.360 0.611 0.719
Pd 0.680 0.705 0.359
Pd 0.320 0.205 0.641

***

B) DFT (PBE-GGA) results for an optimized crystal structure of PmHg4Pd.

Computed properties:
DOS at the Fermi energy ... 2.428 states/eV/f.u.
SG ... P2_1/m

Unit cell a=4.513 b=8.548 c=9.858 alpha=90.00 beta=133.28 gamma=90.00
Positions (direct):
Pm 0.982 0.750 0.654
Pm 0.018 0.250 0.346
Hg 0.552 0.011 0.702
Hg 0.448 0.511 0.298
Hg 0.448 0.989 0.298
Hg 0.552 0.489 0.702
Hg 0.045 0.250 0.698
Hg 0.955 0.750 0.302
Hg 0.029 0.250 0.019
Hg 0.971 0.750 0.981
Pd 0.500 0.500 0.000
Pd 0.500 0.000 0.000

***

Stability ranking, top and bottom: A) is the most stable and B) is the least stable.

***

A) DFT (PBE-GGA) results for an optimized crystal structure of Pm2HgPd9.

Computed properties:
DOS at the Fermi energy ... 10.356 states/eV/f.u.
SG ... P4/mmm

Unit cell a=4.142 b=4.142 c=12.455 alpha=90.00 beta=90.00 gamma=90.00
Positions (direct):
Pm 0.000 0.000 0.328
Pm 0.000 0.000 0.672
Hg 0.000 0.000 0.000
Pd 0.500 0.500 0.000
Pd 0.500 0.500 0.332
Pd 0.500 0.500 0.668
Pd 0.500 0.000 0.161
Pd 0.500 0.000 0.500
Pd 0.500 0.000 0.839
Pd 0.000 0.500 0.161
Pd 0.000 0.500 0.500
Pd 0.000 0.500 0.839

***

B) DFT (PBE-GGA) results for an optimized crystal structure of Pm2HgPd9.

Computed properties:
DOS at the Fermi energy ... 10.713 states/eV/f.u.
SG ... R-3m

Unit cell a=5.403 b=5.403 c=9.483 alpha=73.45 beta=73.45 gamma=60.00
Positions (direct):
Pm 0.866 0.866 0.403
Pm 0.134 0.134 0.597
Hg 0.000 0.000 0.000
Pd 0.667 0.667 0.000
Pd 0.333 0.333 0.000
Pd 0.500 0.500 0.500
Pd 0.413 0.413 0.255
Pd 0.918 0.413 0.255
Pd 0.413 0.918 0.255
Pd 0.587 0.587 0.745
Pd 0.587 0.082 0.745
Pd 0.082 0.587 0.745

***

Stability ranking, top and bottom: A) is the most stable and B) is the least stable.

***

A) DFT (PBE-GGA) results for an optimized crystal structure of PmHgPd2.

Computed properties:
DOS at the Fermi energy ... 2.503 states/eV/f.u.
SG ... Fm-3m

Unit cell a=4.876 b=4.876 c=4.876 alpha=60.00 beta=60.00 gamma=60.00
Positions (direct):
Hg 0.500 0.500 0.500
Pd 0.250 0.250 0.250
Pd 0.750 0.750 0.750
Pm 0.000 0.000 0.000

***

B) DFT (PBE-GGA) results for an optimized crystal structure of PmHgPd2.

Computed properties:
DOS at the Fermi energy ... 1.399 states/eV/f.u.
SG ... P4/mmm

Unit cell a=3.663 b=3.663 c=6.172 alpha=90.00 beta=90.00 gamma=90.00
Positions (direct):
Hg 0.500 0.500 0.500
Pd 0.000 0.000 0.737
Pd 0.000 0.000 0.263
Pm 0.500 0.500 0.000

***

Stability ranking, top and bottom: A) is the most stable and B) is the least stable.